Crystalline PrAlCr2O6 at its relaxed geometry, computed with PBE with a Hubbard U.

POSCAR file:
```
PrAlCr2O6
1.0
-1.197 4.880 -1.630
-4.945 1.801 0.463
-1.054 3.874 3.815
O Cr Al Pr
6 2 1 1
Direct
0.922 0.604 0.218
0.720 0.185 0.753
0.257 0.922 0.218
0.604 0.257 0.218
0.185 0.342 0.753
0.342 0.720 0.753
0.521 0.521 0.436
0.010 0.010 0.970
0.319 0.319 0.042
0.782 0.782 0.655
```

The total energy comes out at -7.81 eV per atom.